# 1
Below is a geometry-optimized BeAg structure, with properties calculated at the GGA-PBE level.

Properties
Energy of formation ... 0.17 eV/atom

a b c (Å): 2.9507 2.9507 2.9507
angles (deg): 90.00 90.00 90.00
With the nearest neighbours (Å) after each atom.
Sites, in units of the cell vectors:
1 Ag 0.5000 0.5000 0.5000  8 Be 2.56
2 Be 0.0000 0.0000 0.0000  8 Ag 2.56

---

# 2
Below is a geometry-optimized Sc9Al2In structure, with properties calculated at the GGA-PBE level.

Properties
Energy of formation ... -0.26 eV/atom

a b c (Å): 4.4570 4.4570 13.3538
angles (deg): 90.00 90.00 90.00
With the nearest neighbours (Å) after each atom.
Sites, in units of the cell vectors:
1 Sc 0.0000 0.5000 0.8273  2 Al 3.11, 8 Sc 3.11-3.21, 2 In 3.21
2 Sc 0.5000 0.5000 0.6643  8 Sc 3.11-3.13, 4 Al 3.15
3 Sc 0.5000 0.0000 0.1727  2 Al 3.11, 8 Sc 3.11-3.21, 2 In 3.21
4 Sc 0.5000 0.0000 0.5000  8 Sc 3.13-3.15, 4 Al 3.13
5 Sc 0.0000 0.5000 0.1727  2 Al 3.11, 8 Sc 3.11-3.21, 2 In 3.21
6 Sc 0.5000 0.5000 0.0000  4 In 3.15, 8 Sc 3.21
7 Sc 0.5000 0.0000 0.8273  2 Al 3.11, 8 Sc 3.11-3.21, 2 In 3.21
8 Sc 0.0000 0.5000 0.5000  8 Sc 3.13-3.15, 4 Al 3.13
9 Sc 0.5000 0.5000 0.3357  8 Sc 3.11-3.13, 4 Al 3.15
10 Al 0.0000 0.0000 0.6645  12 Sc 3.11-3.15
11 Al 0.0000 0.0000 0.3355  12 Sc 3.11-3.15
12 In 0.0000 0.0000 0.0000  12 Sc 3.15-3.21

---

# 3
Below is a geometry-optimized Li2Ag5Au5 structure, with properties calculated at the GGA-PBE level.

Properties
Energy of formation ... -0.16 eV/atom
Energy above the most stable polymorph in this dataset ... 43 meV/atom

a b c (Å): 4.7894 5.1742 10.0631
angles (deg): 106.03 90.00 117.57
With the nearest neighbours (Å) after each atom.
Sites, in units of the cell vectors:
1 Au 0.0000 0.0000 0.0000  2 Au 2.81, 6 Ag 2.84-3.06, 2 Li 2.91
2 Au 0.8401 0.6802 0.5094  2 Li 2.70-2.84, 3 Ag 2.83-2.91, 4 Au 2.88-3.00
3 Au 0.1599 0.3198 0.4906  2 Li 2.70-2.84, 3 Ag 2.83-2.91, 4 Au 2.88-3.00
4 Au 0.7455 0.4911 0.7567  2 Li 2.80, 2 Au 2.81-2.88, 5 Ag 2.82-2.97
5 Au 0.2545 0.5089 0.2433  2 Li 2.80, 2 Au 2.81-2.88, 5 Ag 2.82-2.97
6 Ag 0.5000 0.0000 0.5000  2 Ag 2.81, 8 Au 2.83-3.09
7 Ag 0.3313 0.6627 0.9933  1 Li 2.81, 4 Au 2.82-3.06, 5 Ag 2.83-3.06
8 Ag 0.6687 0.3373 0.0067  1 Li 2.81, 4 Au 2.82-3.06, 5 Ag 2.83-3.06
9 Ag 0.4182 0.8363 0.7473  3 Ag 2.81-2.89, 3 Li 2.84-3.06, 4 Au 2.89-2.97
10 Ag 0.5818 0.1637 0.2527  3 Ag 2.81-2.89, 3 Li 2.84-3.06, 4 Au 2.89-2.97
11 Li 0.0838 0.1676 0.7435  5 Au 2.70-2.91, 3 Ag 2.81-2.84
12 Li 0.9162 0.8324 0.2565  5 Au 2.70-2.91, 3 Ag 2.81-2.84

---

# 4
Below is a geometry-optimized Y14TmIn structure, with properties calculated at the GGA-PBE level.

Properties
Energy of formation ... -0.03 eV/atom

a b c (Å): 7.0735 7.0735 10.0592
angles (deg): 90.00 90.00 90.01
With the nearest neighbours (Å) after each atom.
Sites, in units of the cell vectors:
1 Y 0.6253 0.8754 0.7540  1 In 3.52, 10 Y 3.52-3.58, 1 Tm 3.52
2 Y 0.6253 0.3747 0.7537  10 Y 3.52-3.58, 1 In 3.52, 1 Tm 3.52
3 Y 0.8751 0.6252 0.5000  12 Y 3.54-3.58
4 Y 0.1246 0.3747 0.7540  1 In 3.52, 10 Y 3.52-3.58, 1 Tm 3.52
5 Y 0.1246 0.8754 0.2458  1 In 3.51, 10 Y 3.52-3.58, 1 Tm 3.52
6 Y 0.8750 0.1250 0.5000  12 Y 3.54-3.57
7 Y 0.6253 0.8754 0.2460  1 In 3.52, 10 Y 3.52-3.58, 1 Tm 3.52
8 Y 0.6253 0.3747 0.2463  10 Y 3.52-3.58, 1 In 3.52, 1 Tm 3.52
9 Y 0.3749 0.6251 0.5000  12 Y 3.54-3.58
10 Y 0.1246 0.3747 0.2460  1 In 3.52, 10 Y 3.52-3.58, 1 Tm 3.52
11 Y 0.8748 0.6245 0.0000  8 Y 3.52, 2 In 3.53-3.54, 2 Tm 3.54
12 Y 0.3755 0.1252 0.0000  8 Y 3.52, 2 In 3.53-3.54, 2 Tm 3.54
13 Y 0.1246 0.8754 0.7542  1 In 3.51, 10 Y 3.52-3.58, 1 Tm 3.52
14 Y 0.3748 0.1249 0.5000  12 Y 3.54-3.58
15 In 0.8752 0.1248 0.0000  12 Y 3.51-3.54
16 Tm 0.3750 0.6250 0.0000  12 Y 3.52-3.54

---

# 5
Below is a geometry-optimized ScTl2Os structure, with properties calculated at the GGA-PBE level.

Properties
Energy of formation ... 0.39 eV/atom
Energy above the most stable polymorph in this dataset ... 242 meV/atom

a b c (Å): 4.9578 3.3686 5.0969
angles (deg): 88.55 90.00 90.00
With the nearest neighbours (Å) after each atom.
Sites, in units of the cell vectors:
1 Tl 0.0000 0.0280 0.0074  2 Os 2.88, 3 Tl 2.92-3.06, 2 Sc 2.97
2 Tl 0.0000 0.4720 0.4926  2 Os 2.88, 3 Tl 2.92-3.06, 2 Sc 2.97
3 Os 0.5000 0.2500 0.2500  4 Tl 2.88, 4 Sc 3.02-3.09
4 Sc 0.5000 0.7500 0.7500  4 Tl 2.97, 4 Os 3.02-3.09

---

# 6
Below is a geometry-optimized YGaGe2I structure, with properties calculated at the GGA-PBE level.

Properties
Uncorrected formation energy ... 0.75 eV/atom

a b c (Å): 5.4075 5.4452 5.4075
angles (deg): 90.00 90.00 90.00
With the nearest neighbours (Å) after each atom.
Sites, in units of the cell vectors:
1 Ge 0.0000 0.0000 0.5000  2 I 2.70
2 Ge 0.5000 0.0000 0.0000  2 I 2.70
3 Y 0.5000 0.5000 0.5000  4 Ga 3.82, 8 Ge 3.84
4 I 0.0000 0.0000 0.0000  4 Ge 2.70, 2 Ga 2.72
5 Ga 0.0000 0.5000 0.0000  2 I 2.72

---

# 7
Below is a geometry-optimized AlCdW structure, with properties calculated at the GGA-PBE level.

Properties
Energy of formation ... 0.97 eV/atom
Energy above the most stable polymorph in this dataset ... 663 meV/atom

a b c (Å): 4.3734 4.3734 4.3734
angles (deg): 60.00 60.00 60.00
With the nearest neighbours (Å) after each atom.
Sites, in units of the cell vectors:
1 W 0.5000 0.5000 0.5000  4 Al 2.68
2 Cd 0.0000 0.0000 0.0000  4 Al 2.68
3 Al 0.7500 0.7500 0.7500  4 Cd 2.68, 4 W 2.68

---

# 8
Below is a geometry-optimized Pr3Sm2Y6Ho structure, with properties calculated at the GGA-PBE level.

Properties
Energy of formation ... 0.01 eV/atom

a b c (Å): 6.2677 6.2677 11.8986
angles (deg): 95.02 95.02 119.98
With the nearest neighbours (Å) after each atom.
Sites, in units of the cell vectors:
1 Pr 0.5000 0.5000 0.5000  6 Pr 3.62, 6 Y 3.62
2 Pr 0.1668 0.8332 0.5000  6 Pr 3.62, 6 Y 3.62-3.63
3 Pr 0.8332 0.1668 0.5000  6 Pr 3.62, 6 Y 3.62-3.63
4 Y 0.7494 0.7494 0.2474  1 Ho 3.57, 2 Sm 3.57, 6 Y 3.62, 3 Pr 3.62
5 Y 0.2506 0.2506 0.7526  1 Ho 3.57, 2 Sm 3.57, 6 Y 3.62, 3 Pr 3.62
6 Y 0.4152 0.0823 0.2472  1 Ho 3.57, 2 Sm 3.57, 6 Y 3.61-3.62, 3 Pr 3.62-3.63
7 Y 0.5848 0.9177 0.7528  1 Ho 3.57, 2 Sm 3.57, 6 Y 3.61-3.62, 3 Pr 3.62-3.63
8 Y 0.9177 0.5848 0.7528  1 Ho 3.57, 2 Sm 3.57, 6 Y 3.61-3.62, 3 Pr 3.62-3.63
9 Y 0.0823 0.4152 0.2472  1 Ho 3.57, 2 Sm 3.57, 6 Y 3.61-3.62, 3 Pr 3.62-3.63
10 Sm 0.6664 0.3336 0.0000  6 Y 3.57, 3 Sm 3.61-3.62, 3 Ho 3.62
11 Sm 0.3336 0.6664 0.0000  6 Y 3.57, 3 Sm 3.61-3.62, 3 Ho 3.62
12 Ho 0.0000 0.0000 0.0000  6 Y 3.57, 6 Sm 3.62

---

| no. | M_tot (μB per formula unit) | final energy (Ha/atom) |
| --- | --- | --- |
| 1 | 0.0 | -0.11471 |
| 2 | 3.1 | -0.21537 |
| 3 | 0.0 | -0.11153 |
| 4 | 0.0 | -0.22542 |
| 5 | 0.0 | -0.19052 |
| 6 | 0.0 | -0.12164 |
| 7 | 1.5 | -0.17993 |
| 8 | 0.0 | -0.20510 |